Entry 1:
DFT (PBE) results for a relaxed Sr2LiZr crystal.

The structure in extended XYZ format:
```
4
Lattice="-0.1129 2.5366 -11.6658 -3.6482 1.6234 -11.2513 -2.5370 5.0484 -10.5173" Properties=species:S:1:pos:R:3 pbc="T T T"
Li -4.7236 6.9064 -25.0758
Sr -6.2814 9.1840 -33.3455
Sr -3.1658 4.6287 -16.8061
Zr -1.5745 2.3021 -8.3586
```

Calculated values
DOS(E_F)   4.8 states/eV per cell

Entry 2:
DFT (PBE) results for a relaxed SrLi2Zr crystal.

The structure in extended XYZ format:
```
4
Lattice="3.6389 0.0000 0.0000 0.0000 3.6495 0.0225 0.0000 3.5951 7.8073" Properties=species:S:1:pos:R:3 pbc="T T T"
Li 0.0000 3.6006 7.4324
Li 0.0000 3.6169 4.2898
Sr 1.8195 1.8112 1.9574
Zr 1.8195 5.4335 5.8723
```

Calculated values
DOS(E_F)   4.8 states/eV per cell

Entry 3:
DFT (PBE) results for a relaxed Sr2LiZr crystal.

The structure in extended XYZ format:
```
4
Lattice="-3.5926 5.4672 -0.6425 -4.3342 0.9527 4.8494 6.3924 -0.6943 -1.3654" Properties=species:S:1:pos:R:3 pbc="T T T"
Li -0.9526 1.7341 2.7937
Sr -0.1597 0.1293 0.0847
Sr -3.8037 3.0806 2.0187
Zr -0.5818 3.9914 0.0478
```

Calculated values
DOS(E_F)   5.1 states/eV per cell

Entry 4:
DFT (PBE) results for a relaxed SrLi2Zr crystal.

The structure in extended XYZ format:
```
4
Lattice="6.4599 -0.0056 -0.0026 3.2454 5.5855 0.0026 -4.1180 -4.0678 2.8681" Properties=species:S:1:pos:R:3 pbc="T T T"
Li 0.2311 0.1328 0.0000
Li 1.6836 1.9777 1.4353
Sr 4.6937 2.6985 0.0000
Zr 3.8317 -0.5069 1.4327
```

Calculated values
DOS(E_F)   4.6 states/eV per cell

Entry 5:
DFT (PBE) results for a relaxed Sr2LiZr crystal.

The structure in extended XYZ format:
```
4
Lattice="-3.4418 -4.6111 -1.3568 -2.1922 -3.4176 4.2968 -5.7773 0.1566 1.2438" Properties=species:S:1:pos:R:3 pbc="T T T"
Sr -2.8528 -1.9680 1.0460
Sr -8.5585 -5.9041 3.1379
Zr -5.7056 -3.9361 2.0919
Li 0.0000 0.0000 0.0000
```

Calculated values
DOS(E_F)   10.1 states/eV per cell

Entry 6:
DFT (PBE) results for a relaxed SrLi2Zr crystal.

The structure in extended XYZ format:
```
4
Lattice="-4.6089 -3.9495 -0.7212 -2.3992 -4.7481 -3.0099 1.2365 -4.7354 2.8462" Properties=species:S:1:pos:R:3 pbc="T T T"
Li -0.1547 -0.3618 -0.0231
Li -4.1313 -9.7344 -0.5920
Sr -2.6905 -6.7789 -0.2322
Zr -1.6807 -3.2746 -0.4800
```

Calculated values
DOS(E_F)   4.6 states/eV per cell

Entry 7:
DFT (PBE) results for a relaxed Sr2LiZr crystal.

The structure in extended XYZ format:
```
4
Lattice="6.1326 0.0003 0.0000 1.1582 6.0222 0.0000 -3.6454 -3.0113 3.9054" Properties=species:S:1:pos:R:3 pbc="T T T"
Li 3.0663 0.0001 1.9527
Sr 0.0000 0.0000 0.0000
Sr 3.6454 3.0113 0.0000
Zr 0.5791 3.0111 1.9527
```

Calculated values
DOS(E_F)   6.6 states/eV per cell

Entry 8:
DFT (PBE) results for a relaxed Sr2LiZr crystal.

The structure in extended XYZ format:
```
4
Lattice="7.0642 0.0062 0.0049 3.5165 6.1268 -0.0049 -4.5149 -4.4042 3.1814" Properties=species:S:1:pos:R:3 pbc="T T T"
Li 2.3557 2.5161 1.5883
Sr 0.2824 0.1637 0.0000
Sr 3.7971 -0.7369 1.5931
Zr 4.9209 2.8523 0.0000
```

Calculated values
DOS(E_F)   5.3 states/eV per cell

Entry 9:
DFT (PBE) results for a relaxed Sr3LiZr crystal.

The structure in extended XYZ format:
```
5
Lattice="6.2656 0.0000 0.0000 0.0000 6.2656 0.0000 0.0000 0.0000 6.2656" Properties=species:S:1:pos:R:3 pbc="T T T"
Sr 0.0000 3.1328 0.0000
Sr 0.0000 0.0000 3.1328
Sr 3.1328 0.0000 0.0000
Zr 0.0000 0.0000 0.0000
Li 3.1328 3.1328 3.1328
```

Calculated values
DOS(E_F)   8.3 states/eV per cell

Entry 10:
DFT (PBE) results for a relaxed Sr3LiZr crystal.

The structure in extended XYZ format:
```
5
Lattice="5.9808 0.0000 0.0000 0.0000 5.9808 0.0000 0.0000 0.0000 5.9808" Properties=species:S:1:pos:R:3 pbc="T T T"
Sr 0.0000 2.9904 0.0000
Sr 0.0000 0.0000 2.9904
Sr 2.9904 0.0000 0.0000
Zr 2.9904 2.9904 2.9904
Li 0.0000 0.0000 0.0000
```

Calculated values
DOS(E_F)   2.1 states/eV per cell

Entry 11:
DFT (PBE) results for a relaxed SrLi2Zr crystal.

The structure in extended XYZ format:
```
4
Lattice="-2.1222 -0.7341 -4.4382 0.9777 -3.0862 0.0429 -5.1008 -3.2608 2.9784" Properties=species:S:1:pos:R:3 pbc="T T T"
Li -4.8056 -3.7936 2.9253
Li -2.1364 -1.3450 -1.5432
Sr -2.0233 -2.9514 1.4556
Zr -4.4423 -5.4254 0.2344
```

Calculated values
DOS(E_F)   5.0 states/eV per cell

Entry 12:
DFT (PBE) results for a relaxed Sr2LiZr crystal.

The structure in extended XYZ format:
```
4
Lattice="3.7177 0.0000 0.0000 0.0000 3.7177 0.0000 0.0000 0.0000 9.7655" Properties=species:S:1:pos:R:3 pbc="T T T"
Li 1.8589 1.8589 6.9037
Sr 0.0000 0.0000 9.1840
Sr 1.8589 1.8589 2.9077
Zr 0.0000 0.0000 5.4183
```

Calculated values
DOS(E_F)   6.0 states/eV per cell

Entry 13:
DFT (PBE) results for a relaxed Sr2LiZr crystal.

The structure in extended XYZ format:
```
4
Lattice="5.7924 0.0000 0.0000 2.8962 5.0164 0.0000 2.8962 1.6721 4.7295" Properties=species:S:1:pos:R:3 pbc="T T T"
Li 5.7924 3.3443 2.3648
Sr 0.0000 0.0000 0.0000
Sr 2.8962 1.6721 1.1824
Zr 8.6887 5.0164 3.5471
```

Calculated values
DOS(E_F)   5.9 states/eV per cell

Entry 14:
DFT (PBE) results for a relaxed SrLi2Zr crystal.

The structure in extended XYZ format:
```
8
Lattice="-2.2706 1.2971 7.7354 6.6442 -3.9615 2.6146 3.8331 1.4410 5.1932" Properties=species:S:1:pos:R:3 pbc="T T T"
Sr 2.1868 -1.3322 5.1750
Sr 6.3320 -1.9264 6.4914
Zr 0.0000 0.0000 0.0000
Zr 1.8747 0.7030 9.0518
Li 0.3266 0.7004 6.6066
Li 4.8702 -1.9782 3.7524
Li 4.3888 0.1568 7.7265
Li 6.8279 -1.3258 13.0008
```

Calculated values
DOS(E_F)   9.1 states/eV per cell

Entry 15:
DFT (PBE) results for a relaxed SrLiZr crystal.

The structure in extended XYZ format:
```
3
Lattice="-3.3281 -4.0279 -1.8466 3.7280 -1.0814 3.9551 -2.1857 0.7655 2.2696" Properties=species:S:1:pos:R:3 pbc="T T T"
Li -0.0401 0.0140 0.0416
Sr -1.5729 -2.8367 0.7070
Zr -0.1728 -1.5212 3.6293
```

Calculated values
DOS(E_F)   4.1 states/eV per cell

Entry 16:
DFT (PBE) results for a relaxed SrLiZr crystal.

The structure in extended XYZ format:
```
3
Lattice="5.1860 0.0000 0.0000 2.5930 4.4912 0.0000 2.5930 1.4971 4.2344" Properties=species:S:1:pos:R:3 pbc="T T T"
Li 2.5930 1.4971 1.0586
Sr 0.0000 0.0000 0.0000
Zr 5.1860 2.9942 2.1172
```

Calculated values
DOS(E_F)   4.3 states/eV per cell

Entry 17:
DFT (PBE) results for a relaxed Sr2LiZr crystal.

The structure in extended XYZ format:
```
4
Lattice="-1.6646 0.6731 -6.5405 -4.7469 -0.3506 -4.8318 -2.3753 5.6425 -0.9042" Properties=species:S:1:pos:R:3 pbc="T T T"
Li -1.9870 1.3953 -2.7484
Sr -6.3976 0.6202 -11.1691
Sr -6.5794 4.1760 -9.3666
Zr -4.6275 3.0785 -6.5031
```

Calculated values
DOS(E_F)   5.5 states/eV per cell

Entry 18:
DFT (PBE) results for a relaxed SrLi2Zr crystal.

The structure in extended XYZ format:
```
4
Lattice="3.6643 0.0000 0.0000 0.0000 5.5477 0.0000 0.0000 0.0000 5.3261" Properties=species:S:1:pos:R:3 pbc="T T T"
Li 0.0000 0.0000 0.0000
Li 1.8321 2.7739 0.0000
Sr 1.8321 0.0000 2.6631
Zr 0.0000 2.7739 2.6631
```

Calculated values
DOS(E_F)   3.8 states/eV per cell

Entry 19:
DFT (PBE) results for a relaxed Sr2LiZr crystal.

The structure in extended XYZ format:
```
4
Lattice="-0.4146 2.5217 2.5661 -3.1669 0.9719 -1.4635 -4.9576 -7.0006 6.0784" Properties=species:S:1:pos:R:3 pbc="T T T"
Li -5.5089 -3.5036 5.1101
Sr -0.0255 -0.0360 0.0313
Sr -2.4533 -3.4643 3.0079
Zr -3.0301 -0.0033 2.0709
```

Calculated values
DOS(E_F)   5.4 states/eV per cell

Entry 20:
DFT (PBE) results for a relaxed Sr2LiZr crystal.

The structure in extended XYZ format:
```
8
Lattice="8.9300 0.0000 0.0000 0.0000 8.9300 0.0000 4.4650 4.4650 3.4868" Properties=species:S:1:pos:R:3 pbc="T T T"
Sr 6.3986 2.2325 0.8717
Sr 2.5314 6.6975 0.8717
Sr 6.6975 6.9965 2.6151
Sr 11.1626 10.8636 2.6151
Zr 0.0000 0.0000 0.0000
Zr 8.9300 4.4650 1.7434
Li 4.4650 4.4650 0.0000
Li 4.4650 8.9300 1.7434
```

Calculated values
DOS(E_F)   13.6 states/eV per cell

Entry 21:
DFT (PBE) results for a relaxed SrLi2Zr crystal.

The structure in extended XYZ format:
```
4
Lattice="-0.9959 4.4536 -2.9468 -3.6402 -2.7595 -2.9403 -2.5036 0.9198 2.2363" Properties=species:S:1:pos:R:3 pbc="T T T"
Li 0.0000 0.0000 0.0000
Li -2.3180 0.8471 -2.9435
Sr -1.7497 2.6867 -0.3553
Zr -3.0719 -0.9198 -0.3520
```

Calculated values
DOS(E_F)   4.8 states/eV per cell

Entry 22:
DFT (PBE) results for a relaxed SrLi2Zr crystal.

The structure in extended XYZ format:
```
4
Lattice="6.2215 0.0669 0.0000 2.9888 5.4569 0.0000 -4.6052 -2.7619 3.1425" Properties=species:S:1:pos:R:3 pbc="T T T"
Li 0.0000 0.0000 0.0000
Li 1.4944 2.7284 1.5713
Sr 4.6051 2.7619 0.0000
Zr 3.1107 0.0334 1.5713
```

Calculated values
DOS(E_F)   5.3 states/eV per cell

Entry 23:
DFT (PBE) results for a relaxed Sr2LiZr crystal.

The structure in extended XYZ format:
```
4
Lattice="6.1840 0.0023 0.0000 -0.9674 6.1079 0.0000 0.0000 0.0000 3.6776" Properties=species:S:1:pos:R:3 pbc="T T T"
Li -0.4837 3.0539 1.8388
Sr 0.0000 0.0000 0.0000
Sr 2.6083 3.0551 0.0000
Zr 3.0920 0.0011 1.8388
```

Calculated values
DOS(E_F)   5.2 states/eV per cell

Entry 24:
DFT (PBE) results for a relaxed Sr2LiZr crystal.

The structure in extended XYZ format:
```
4
Lattice="-2.2361 -2.9307 0.4939 4.2409 -2.6373 3.5516 -2.4483 2.6985 4.9273" Properties=species:S:1:pos:R:3 pbc="T T T"
Li -2.3422 -0.1161 2.7106
Sr 0.0000 0.0000 0.0000
Sr 0.8963 0.0306 4.2394
Zr 1.0024 -2.7840 2.0227
```

Calculated values
DOS(E_F)   5.5 states/eV per cell

Entry 25:
DFT (PBE) results for a relaxed SrLiZr crystal.

The structure in extended XYZ format:
```
3
Lattice="-3.0455 1.4500 -0.5893 0.3801 -3.3854 -0.3459 -2.0728 -1.0607 8.1033" Properties=species:S:1:pos:R:3 pbc="T T T"
Li -2.0275 -1.0375 7.9262
Sr -2.6014 -0.5189 2.2197
Zr -2.1821 -2.5004 5.1255
```

Calculated values
DOS(E_F)   4.1 states/eV per cell

Entry 26:
DFT (PBE) results for a relaxed Sr2LiZr crystal.

The structure in extended XYZ format:
```
4
Lattice="3.9962 0.0000 0.0000 0.0000 6.0493 0.0000 0.0000 0.0000 5.6606" Properties=species:S:1:pos:R:3 pbc="T T T"
Li 0.0000 3.0246 2.8303
Sr 0.0000 0.0000 0.0000
Sr 1.9981 3.0246 0.0000
Zr 1.9981 0.0000 2.8303
```

Calculated values
DOS(E_F)   4.8 states/eV per cell

Entry 27:
DFT (PBE) results for a relaxed SrLi2Zr crystal.

The structure in extended XYZ format:
```
4
Lattice="-5.2411 0.7147 -0.5224 -3.2161 -4.1998 -0.5209 -3.2743 -1.3480 3.9643" Properties=species:S:1:pos:R:3 pbc="T T T"
Li 0.0000 0.0000 0.0000
Li -2.9329 -1.2083 0.7302
Sr -5.8658 -2.4165 1.4605
Zr -8.7987 -3.6248 2.1907
```

Calculated values
DOS(E_F)   4.0 states/eV per cell

Entry 28:
DFT (PBE) results for a relaxed SrLi2Zr crystal.

The structure in extended XYZ format:
```
4
Lattice="3.5570 0.0000 0.0000 0.0000 3.5570 0.0000 0.0000 0.0000 8.2378" Properties=species:S:1:pos:R:3 pbc="T T T"
Li 0.0000 0.0000 0.1488
Li 1.7785 1.7785 1.4915
Sr 0.0000 0.0000 4.0884
Zr 1.7785 1.7785 6.6281
```

Calculated values
DOS(E_F)   3.8 states/eV per cell

Entry 29:
DFT (PBE) results for a relaxed LiTa crystal.

The structure in extended XYZ format:
```
2
Lattice="2.6893 0.0123 0.0000 -0.9813 2.5039 0.0000 0.0000 0.0000 5.2211" Properties=species:S:1:pos:R:3 pbc="T T T"
Li 0.0000 0.0000 0.0000
Ta 0.8540 1.2581 2.6105
```

Calculated values
DOS(E_F)   1.6 states/eV per cell

Entry 30:
DFT (PBE) results for a relaxed LiTa3 crystal.

The structure in extended XYZ format:
```
4
Lattice="-0.8502 4.8751 -2.1251 -3.6491 -3.7461 -1.2869 -1.4729 0.6892 2.1703" Properties=species:S:1:pos:R:3 pbc="T T T"
Li 0.0000 0.0000 0.0000
Ta -2.5610 -1.5285 0.4417
Ta -1.1615 2.7822 0.0226
Ta -2.2497 0.5645 -1.7060
```

Calculated values
DOS(E_F)   5.1 states/eV per cell

no.,formation energy from the elements (eV/atom)
1,0.42
2,0.36
3,0.55
4,0.43
5,0.57
6,0.43
7,0.55
8,0.44
9,0.80
10,0.74
11,0.42
12,0.37
13,0.61
14,0.68
15,0.60
16,0.93
17,0.43
18,0.53
19,0.38
20,0.70
21,0.43
22,0.56
23,0.46
24,0.46
25,0.49
26,0.59
27,0.64
28,0.34
29,0.39
30,0.38